Compound: BaMn7O12
Source: Alexandria via LeMat-Bulk
Functional: GGA+U
Structure: relaxed

POSCAR file:
```
BaMn7O12
1.0
6.5861 0.0000 0.0000
-2.1954 6.2094 0.0000
-2.1954 -3.1047 5.3775
Ba Mn O
1 7 12
direct
0.0000 0.0000 0.0000
0.5000 0.0000 0.5000
0.5000 0.5000 0.0000
0.0000 0.5000 0.5000
0.0000 0.0000 0.5000
0.5000 0.0000 0.0000
0.5000 0.5000 0.5000
0.0000 0.5000 0.0000
0.3156 0.1826 0.4982
0.3156 0.8174 0.1330
0.6844 0.8174 0.5018
0.6844 0.1826 0.8670
0.4982 0.3156 0.1826
0.8670 0.6844 0.1826
0.5018 0.6844 0.8174
0.1330 0.3156 0.8174
0.8174 0.1330 0.3156
0.1826 0.8670 0.6844
0.1826 0.4982 0.3156
0.8174 0.5018 0.6844
```

**Space group**: Im-3, No. 204
**DOS at the Fermi energy**: 0.2567 states/eV per atom
**Final energy**: -0.5409 Ry per atom